First-principles (GGA-PBE) data for a relaxed Cu2TeS2Cl crystal, as listed in Alexandria.

**Volume**: 26.23 A^3/atom
**VASP energy**: -0.137 hartree per atom
**Formation energy (no corrections)**: -0.161 eV/atom

Cell and atoms, written as extended XYZ:
```
12
Lattice="6.2800 0.0000 0.0000 0.0000 6.2331 0.0000 -2.6610 0.0000 8.0403" Properties=species:S:1:pos:R:3 pbc="T T T"
Cu -0.3915 0.2411 1.9308
Cu -0.3915 2.8755 1.9308
Cu 4.0104 3.3577 6.1095
Cu 4.0104 5.9920 6.1095
Te 0.7344 1.5583 5.1920
Te 2.8845 4.6749 2.8483
S -0.9678 4.6749 3.0319
S 1.2438 1.5583 2.8674
S 2.3751 4.6749 5.1729
S 4.5868 1.5583 5.0084
Cl -1.3965 4.6749 7.7801
Cl 5.0155 1.5583 0.2602
```